Record 1
First-principles (GGA-PBE) data for NaAs3F after structural relaxation, as listed in Alexandria.

Polymorph energy (0 for the lowest one) ... 0.000 eV per atom
Energy relative to the elements, uncorrected ... 52 meV per atom
DFT total energy ... -16.88 eV per cell
Crystal system ... cubic

Unit cell a=4.648 b=4.648 c=4.648 alpha=90.00 beta=90.00 gamma=90.00
Space group Pm-3m (No. 221)
Unique sites:
Na 0.000 0.000 0.000 (multiplicity 1)
As 0.000 0.500 0.500 (multiplicity 3)
F 0.500 0.500 0.500 (multiplicity 1)

Record 2
First-principles (GGA-PBE) data for TiIn2HPt after structural relaxation, as listed in Alexandria.

DFT total energy ... -22.21 eV per cell
Crystal system ... tetragonal

Unit cell a=5.317 b=5.317 c=3.285 alpha=90.00 beta=90.00 gamma=90.00
Space group P4/mmm (No. 123)
Unique sites:
Ti 0.000 0.000 0.000 (multiplicity 1)
In 0.000 0.500 0.500 (multiplicity 2)
H 0.500 0.500 0.000 (multiplicity 1)
Pt 0.500 0.500 0.500 (multiplicity 1)

Record 3
First-principles (GGA-PBE) data for Tb4CdRuRh2 after structural relaxation, as listed in Alexandria.

Formation enthalpy at 0 K ... -568.3 meV per atom
DFT total energy ... -143.88 eV per cell
Crystal system ... trigonal

Unit cell a=4.9491 b=4.9491 c=24.4788 alpha=90.00 beta=90.00 gamma=120.00
Space group R-3m (No. 166, hexagonal axes)
Unique sites:
Tb 0.0000 0.0000 0.1176 (multiplicity 6)
Tb 0.0000 0.0000 0.3701 (multiplicity 6)
Cd 0.0000 0.0000 0.5000 (multiplicity 3)
Ru 0.0000 0.0000 0.0000 (multiplicity 3)
Rh 0.0000 0.0000 0.2497 (multiplicity 6)

Record 4
First-principles (GGA-PBE) data for RbHfSb2 after structural relaxation, as listed in Alexandria.

Polymorph energy (0 for the lowest one) ... 0.000 eV per atom
Energy relative to the elements, uncorrected ... -366 meV per atom
DFT total energy ... -61.89 eV per cell
Crystal system ... trigonal

Unit cell a=4.0146 b=4.0146 c=27.7545 alpha=90.00 beta=90.00 gamma=120.00
Space group R-3m (No. 166, hexagonal axes)
Unique sites:
Rb 0.0000 0.0000 0.0000 (multiplicity 3)
Hf 0.0000 0.0000 0.5000 (multiplicity 3)
Sb 0.0000 0.0000 0.2318 (multiplicity 6)